CaHoSb2 | PBE | optimized geometry

Properties
Space-group type: R-3m
Raw formation energy (eV per atom): -0.920

abc: 4.3301 4.3301 8.0511
angles: 74.40 74.40 60.00
Fractional coordinates of all 4 atoms:
Sb  0.2541  0.2541  0.2376
Sb  0.7459  0.7459  0.7624
Ca  0.5000  0.5000  0.5000
Ho  0.0000  0.0000  0.0000



AlTl2CuTe4 | PBE | optimized geometry

Properties
Space-group type: I-42m
Raw formation energy (eV per atom): -0.188

abc: 7.2443 6.8786 6.8786
angles: 73.90 58.22 58.22
Fractional coordinates of all 8 atoms:
Al  0.0000  0.0000  0.0000
Tl  0.0000  0.5000  0.5000
Tl  0.5000  0.5000  0.5000
Cu  0.5000  0.0000  0.0000
Te  0.0911  0.3251  0.0000
Te  0.9089  0.0000  0.6749
Te  0.5838  0.0000  0.3251
Te  0.4162  0.6749  0.0000



LaScSiAg | PBE | optimized geometry

Properties
Space-group type: F-43m
Raw formation energy (eV per atom): -0.375

abc: 5.0672 5.0672 5.0672
angles: 60.00 60.00 60.00
Fractional coordinates of all 4 atoms:
Sc  0.0000  0.0000  0.0000
Si  0.7500  0.7500  0.7500
Ag  0.2500  0.2500  0.2500
La  0.5000  0.5000  0.5000



CsTl3Rh | PBE | optimized geometry

Properties
Formation energy (eV/atom): -0.06
Space-group type: P-1

abc: 5.8960 5.5892 12.1985
angles: 83.75 75.96 121.74
Fractional coordinates of all 10 atoms:
Cs  0.3050  0.7214  0.4752
Cs  0.1263  0.1549  0.2647
Tl  0.9529  0.6236  0.0801
Tl  0.4786  0.2529  0.6598
Tl  0.6146  0.9472  0.0807
Tl  0.8169  0.9293  0.6593
Tl  0.0192  0.4834  0.8078
Tl  0.4125  0.3937  0.9321
Rh  0.9658  0.9393  0.8697
Rh  0.4659  0.9380  0.8702



GdAl2Fe | PBE | optimized geometry

Properties
Formation energy (eV/atom): -0.28
Space-group type: P4/mmm

abc: 3.0409 3.0409 7.3580
angles: 90.00 90.00 90.00
Last column: magnetic moment on the atom in μB.
Fractional coordinates of all 4 atoms:
Gd  0.5000  0.5000  0.5000  7.21
Fe  0.5000  0.5000  0.0000  0.11
Al  0.0000  0.0000  0.8203  -0.01
Al  0.0000  0.0000  0.1797  -0.01



Pm3SmDyTh | PBE | optimized geometry

Properties
Formation energy (eV/atom): 0.03
Space-group type: P2_1/m

abc: 5.1185 8.0927 10.8610
angles: 116.58 90.00 90.00
Fractional coordinates of all 12 atoms:
Pm  0.7500  0.8666  0.0446
Pm  0.2500  0.1334  0.9554
Pm  0.2500  0.6283  0.4564
Pm  0.7500  0.3717  0.5436
Pm  0.7500  0.3836  0.2055
Pm  0.2500  0.6164  0.7945
Sm  0.2500  0.1215  0.2923
Sm  0.7500  0.8785  0.7077
Dy  0.2500  0.1271  0.6280
Dy  0.7500  0.8729  0.3720
Th  0.2500  0.6224  0.1222
Th  0.7500  0.3776  0.8778